## Tc2NiBiO (PBE+U)

Data for Tc2NiBiO after structural relaxation.

Results
The value obtained for the total magnetic moment is 2.85 μB per formula unit. For the volume, the calculation gives 14.93 Å³/atom. The value obtained for the electronic total energy is -30.143 eV for the cell shown. The density of states at the Fermi level is 4.953 states/eV per cell.

Geometry as CIF:
```
data_Tc2NiBiO
_cell_length_a 4.224
_cell_length_b 4.224
_cell_length_c 4.183
_cell_angle_alpha 90.00
_cell_angle_beta 90.00
_cell_angle_gamma 90.00
_symmetry_space_group_name_H-M 'P 1'
_symmetry_Int_Tables_number 1
loop_
_symmetry_equiv_pos_as_xyz
'x,y,z'
loop_
_atom_site_label
_atom_site_fract_x
_atom_site_fract_y
_atom_site_fract_z
_atom_site_occupancy
Tc1 0.000 0.500 0.000 1
Tc2 0.500 0.000 0.000 1
Ni1 0.000 0.000 0.500 1
Bi1 0.500 0.500 0.500 1
O1 0.000 0.000 0.000 1
```